LiGd2Si, relaxed, DFT GGA-PBE; raw formation energy = -0.355 eV/atom; electronic total energy = -9.2299 eV per atom; Fermi-level density of states = 3.08 states/eV/f.u.; magnetic moment = 14.82 μB per cell
1.0
-0.3174 3.9746 -0.0527
-4.0495 -0.2897 2.5353
2.5232 0.2553 4.0594
Gd Si Li
2 1 1
direct
0.0000 0.5000 0.0000
0.0000 0.0000 0.5000
0.5000 0.0000 0.0000
0.5000 0.5000 0.5000